Record 1
Compound: PC
Source: the Alexandria database
Functional: PBE
Structure: optimized geometry

For the calculated volume, the calculation gives 12.81 A^3/atom. The theoretical density is 2.79 g/cm3. For the total energy, the calculation gives -6.8951 eV per atom. The magnetic moment is 0.00 μB/f.u. The formation energy comes out at 0.42 eV/atom.

The space group is Cmcm (No. 63) and the conventional cell measures 2.925, 13.698 and 2.558 Å, with angles of 90.00, 90.00 and 90.00 degrees. Symmetry generates all atoms from P at (0.000, 0.121, 0.250) and C at (0.000, 0.469, 0.750).

Record 2
Compound: CuRu2Rh
Source: the Alexandria database
Functional: PBE
Structure: optimized geometry

For the calculated volume, the calculation gives 13.61 A^3/atom. The theoretical density is 11.24 g/cm3. For the total energy, the calculation gives -7.3809 eV per atom. The magnetic moment is 0.00 μB/f.u. The formation energy comes out at 0.12 eV/atom.

The space group is Pm (No. 6) and the conventional cell measures 2.722, 3.753 and 5.330 Å, with angles of 90.00, 90.11 and 90.00 degrees. Symmetry generates all atoms from Cu at (0.000, 0.000, 0.000), Ru at (0.000, 0.000, 0.491), Ru at (0.499, 0.500, 0.255) and Rh at (0.501, 0.500, 0.762).

Record 3
Compound: HfV3Se6
Source: the Alexandria database
Functional: PBE
Structure: optimized geometry

For the calculated volume, the calculation gives 19.03 A^3/atom. The theoretical density is 7.02 g/cm3. For the total energy, the calculation gives -6.5345 eV per atom. The calculation puts the uncorrected formation energy at -0.713 eV per atom. The magnetic moment is 1.71 μB/f.u.

The space group is P2_1/m (No. 11) and the conventional cell measures 10.535, 3.589 and 10.786 Å, with angles of 90.00, 111.04 and 90.00 degrees. Symmetry generates all atoms from Hf at (0.065, 0.250, 0.202), V at (0.115, 0.250, 0.561), V at (0.325, 0.750, 0.992), V at (0.459, 0.250, 0.385), Se at (0.095, 0.750, 0.398), Se at (0.114, 0.250, 0.967), Se at (0.178, 0.750, 0.743), Se at (0.281, 0.750, 0.223), Se at (0.372, 0.250, 0.569) and Se at (0.486, 0.250, 0.122).

Record 4
Compound: Na2PuMnTe4
Source: the Alexandria database
Functional: PBE
Structure: optimized geometry

For the calculated volume, the calculation gives 30.26 A^3/atom. The theoretical density is 5.87 g/cm3. For the total energy, the calculation gives -5.5552 eV per atom. The calculation puts the uncorrected formation energy at -0.717 eV per atom. The magnetic moment is 9.00 μB/f.u.

The space group is P2/m (No. 10) and the conventional cell measures 7.529, 4.307 and 7.874 Å, with angles of 90.00, 108.52 and 90.00 degrees. Symmetry generates all atoms from Na at (0.000, 0.000, 0.000), Na at (0.500, 0.500, 0.000), Pu at (0.000, 0.500, 0.500), Mn at (0.500, 0.000, 0.500), Te at (0.255, 0.000, 0.730) and Te at (0.284, 0.500, 0.291).

Record 5
Compound: HfMg2Tl3Se6
Source: the Alexandria database
Functional: PBE
Structure: optimized geometry

For the calculated volume, the calculation gives 26.05 A^3/atom. The theoretical density is 6.98 g/cm3. For the total energy, the calculation gives -4.3099 eV per atom. The calculation puts the uncorrected formation energy at -0.881 eV per atom. The magnetic moment is 0.00 μB/f.u.

The space group is C2/m (No. 12) and the conventional cell measures 6.962, 12.094 and 7.785 Å, with angles of 90.00, 107.51 and 90.00 degrees. Symmetry generates all atoms from Hf at (0.000, 0.000, 0.000), Mg at (0.000, 0.334, 0.000), Tl at (0.000, 0.167, 0.500), Tl at (0.000, 0.500, 0.500), Se at (0.229, 0.162, 0.197) and Se at (0.243, 0.500, 0.200).

Record 6
Compound: Er2TlHg3
Source: the Alexandria database
Functional: PBE
Structure: optimized geometry

For the calculated volume, the calculation gives 25.72 A^3/atom. The theoretical density is 12.28 g/cm3. For the total energy, the calculation gives -2.3487 eV per atom. The magnetic moment is 0.00 μB/f.u. The formation energy comes out at -0.28 eV/atom.

The space group is Ibam (No. 72) and the conventional cell measures 6.355, 15.271 and 6.359 Å, with angles of 90.00, 90.00 and 90.00 degrees. Symmetry generates all atoms from Er at (0.242, 0.158, 0.000), Tl at (0.000, 0.500, 0.250), Hg at (0.000, 0.000, 0.250) and Hg at (0.250, 0.147, 0.500).

Record 7
Compound: PH6F12
Source: the Alexandria database
Functional: PBE
Structure: optimized geometry

For the calculated volume, the calculation gives 13.19 A^3/atom. The theoretical density is 1.76 g/cm3. For the total energy, the calculation gives -4.2577 eV per atom. The magnetic moment is 1.19 μB/f.u.

The space group is R-3 (No. 148, hexagonal axes) and the conventional cell measures 7.5789, 7.5789 and 15.1104 Å, with angles of 90.00, 90.00 and 120.00 degrees. Symmetry generates all atoms from P at (0.0000, 0.0000, 0.0000), H at (0.0154, 0.1625, 0.4102), F at (0.0375, 0.8462, 0.9376) and F at (0.0565, 0.8390, 0.4123).

Record 8
Compound: Sc2MoP
Source: the Alexandria database
Functional: PBE
Structure: optimized geometry

For the calculated volume, the calculation gives 20.22 A^3/atom. The theoretical density is 4.45 g/cm3. For the total energy, the calculation gives -6.9211 eV per atom. The magnetic moment is 0.01 μB/f.u. The formation energy comes out at 0.30 eV/atom.

The space group is R-3m (No. 166, hexagonal axes) and the conventional cell measures 3.1165, 3.1165 and 28.8511 Å, with angles of 90.00, 90.00 and 120.00 degrees. Symmetry generates all atoms from Sc at (0.0000, 0.0000, 0.0908), Mo at (0.0000, 0.0000, 0.5000) and P at (0.0000, 0.0000, 0.0000).